Entry 1:
Lu2GaPb: relaxed, PBE-GGA.

abc: 3.610 3.610 9.379
angles: 78.91 78.91 60.00
Sites, in units of the cell vectors:
Pb1 0.500 0.500 0.500
Lu1 0.259 0.259 0.222
Lu2 0.741 0.741 0.778
Ga1 0.000 0.000 0.000

Values from the calculation:
formation energy: -0.370 eV per atom



Entry 2:
Ac3LaSm2: relaxed, PBE-GGA.

abc: 7.157 7.157 12.055
angles: 65.01 65.01 63.05
Sites, in units of the cell vectors:
Ac1 0.254 0.746 0.750
Ac2 0.746 0.254 0.250
Ac3 0.176 0.169 0.914
Ac4 0.831 0.824 0.586
Ac5 0.169 0.176 0.414
Ac6 0.824 0.831 0.086
La1 0.253 0.747 0.250
La2 0.747 0.253 0.750
Sm1 0.657 0.658 0.422
Sm2 0.658 0.657 0.922
Sm3 0.342 0.343 0.078
Sm4 0.343 0.342 0.578

Values from the calculation:
formation energy: 0.075 eV per atom
relative energy among the computed polymorphs: 0.000 eV/atom



Entry 3:
AsCBr2: relaxed, PBE-GGA.

abc: 8.706 8.706 8.706
angles: 22.70 22.70 22.70
Sites, in units of the cell vectors:
As1 0.000 0.000 0.000
C1 0.500 0.500 0.500
Br1 0.893 0.893 0.893
Br2 0.107 0.107 0.107

Values from the calculation:
ΔE_f (raw): 1.53 eV/atom
relative energy among the computed polymorphs: 0.000 eV/atom



Entry 4:
AcPm4Ho5: relaxed, PBE-GGA.

abc: 3.729 8.326 11.238
angles: 97.49 99.55 90.00
Sites, in units of the cell vectors:
Ac1 0.500 0.000 0.000
Pm1 0.313 0.948 0.626
Pm2 0.887 0.663 0.773
Pm3 0.687 0.052 0.374
Pm4 0.113 0.337 0.227
Ho1 0.718 0.641 0.437
Ho2 0.900 0.251 0.800
Ho3 0.100 0.749 0.200
Ho4 0.500 0.500 0.000
Ho5 0.282 0.359 0.563

Values from the calculation:
formation energy: 0.057 eV per atom
relative energy among the computed polymorphs: 0.025 eV/atom



Entry 5:
LiCe2Pu: relaxed, PBE-GGA.

abc: 3.261 5.375 5.375
angles: 90.00 90.00 90.00
Last column: magnetic moment on the atom in μB.
Sites, in units of the cell vectors:
Li1 0.500 0.500 0.500  -0.02
Ce1 0.000 0.000 0.500  0.07
Ce2 0.000 0.500 0.000  0.07
Pu1 0.500 0.000 0.000  4.93

Values from the calculation:
formation energy: 0.155 eV per atom
relative energy among the computed polymorphs: 0.000 eV/atom



Entry 6:
RuBrOF2: relaxed, PBE-GGA.

abc: 4.545 4.545 4.036
angles: 90.00 90.00 90.00
Last column: magnetic moment on the atom in μB.
Sites, in units of the cell vectors:
Ru1 0.500 0.500 0.500  2.92
O1 0.000 0.000 0.500  0.04
Br1 0.000 0.000 0.000  0.05
F1 0.000 0.500 0.000  0.03
F2 0.500 0.000 0.000  0.03

Values from the calculation:
ΔE_f (raw): 0.59 eV/atom
relative energy among the computed polymorphs: 1.199 eV/atom



| no. | electronic total energy (eV for the cell shown) |
| --- | --- |
| 1 | -17.26 |
| 2 | -52.49 |
| 3 | -11.10 |
| 4 | -45.43 |
| 5 | -27.49 |
| 6 | -16.68 |